# 1
SrP2CN6: relaxed, PBE.

**Size of the total moment**: 0.000 μB per formula unit
**ΔE_f (raw)**: -81 meV per atom

Cell lengths 6.937, 6.937, 5.432 Å; angles 106.11, 106.11, 96.96 degrees
Atoms (fractional coordinates):
1 Sr 0.158 0.842 0.750
2 Sr 0.842 0.158 0.250
3 P 0.177 0.338 0.906
4 P 0.338 0.177 0.406
5 P 0.662 0.823 0.594
6 P 0.823 0.662 0.094
7 C 0.271 0.729 0.250
8 C 0.729 0.271 0.750
9 N 0.066 0.688 0.264
10 N 0.202 0.246 0.158
11 N 0.246 0.202 0.658
12 N 0.274 0.583 0.000
13 N 0.312 0.934 0.236
14 N 0.417 0.726 0.500
15 N 0.583 0.274 0.500
16 N 0.688 0.066 0.764
17 N 0.726 0.417 0.000
18 N 0.754 0.798 0.342
19 N 0.798 0.754 0.842
20 N 0.934 0.312 0.736


# 2
YTcPCN: relaxed, PBE.

**Size of the total moment**: 0.000 μB per formula unit
**Energy relative to the lowest polymorph listed for this composition**: 0.1818 eV/atom
**ΔE_f (raw)**: -326 meV per atom

Cell lengths 6.694, 3.579, 6.464 Å; angles 90.00, 101.26, 90.00 degrees
Atoms (fractional coordinates):
1 Y 0.000 0.000 0.000
2 Y 0.500 0.500 0.000
3 Tc 0.225 0.000 0.599
4 Tc 0.725 0.500 0.599
5 P 0.213 0.500 0.337
6 P 0.713 0.000 0.337
7 C 0.418 0.500 0.559
8 C 0.918 0.000 0.559
9 N 0.310 0.000 0.905
10 N 0.810 0.500 0.905


# 3
YTcPCN: relaxed, PBE.

**Size of the total moment**: 0.000 μB per formula unit
**Energy relative to the lowest polymorph listed for this composition**: 0.1872 eV/atom
**ΔE_f (raw)**: -320 meV per atom

Cell lengths 3.742, 3.821, 5.955 Å; angles 92.06, 101.07, 110.21 degrees
Atoms (fractional coordinates):
1 Y 0.000 0.000 0.000
2 Tc 0.448 0.241 0.588
3 P 0.449 0.713 0.347
4 C 0.883 0.059 0.502
5 N 0.617 0.344 0.919